No. 1
This record from Alexandria describes RbHRu3 after structural relaxation. The functional is PBE.

```
data_RbHRu3
_chemical_formula_sum 'Rb1 H1 Ru3'
_symmetry_space_group_name_H-M 'P 1'
_symmetry_Int_Tables_number 1
_symmetry_space_group_name_Hall 'P 1'
_cell_length_a 4.2036
_cell_length_b 4.2036
_cell_length_c 4.2036
_cell_angle_alpha 90.00
_cell_angle_beta 90.00
_cell_angle_gamma 90.00
loop_
_atom_site_label
_atom_site_type_symbol
_atom_site_fract_x
_atom_site_fract_y
_atom_site_fract_z
_atom_site_occupancy
Ru1 Ru 0.0000 0.5000 0.0000 1
Rb1 Rb 0.5000 0.5000 0.5000 1
Ru2 Ru 0.5000 0.0000 0.0000 1
H1 H 0.0000 0.0000 0.0000 1
Ru3 Ru 0.0000 0.0000 0.5000 1
```

DOS at the Fermi energy = 6.9 states/eV per cell
space group = Pm-3m
electronic total energy = -4.9892 eV per atom


No. 2
This record from Alexandria describes RbHRu2 after structural relaxation. The functional is PBE.

```
data_RbHRu2
_chemical_formula_sum 'Rb1 H1 Ru2'
_symmetry_space_group_name_H-M 'P 1'
_symmetry_Int_Tables_number 1
_symmetry_space_group_name_Hall 'P 1'
_cell_length_a 4.5479
_cell_length_b 4.5479
_cell_length_c 4.5479
_cell_angle_alpha 60.00
_cell_angle_beta 60.00
_cell_angle_gamma 60.00
loop_
_atom_site_label
_atom_site_type_symbol
_atom_site_fract_x
_atom_site_fract_y
_atom_site_fract_z
_atom_site_occupancy
Ru1 Ru 0.7500 0.7500 0.7500 1
Rb1 Rb 0.5000 0.5000 0.5000 1
H1 H 0.0000 0.0000 0.0000 1
Ru2 Ru 0.2500 0.2500 0.2500 1
```

DOS at the Fermi energy = 6.4 states/eV per cell
space group = Fm-3m
electronic total energy = -3.4092 eV per atom


Repeat the second record exactly.
This record from Alexandria describes RbHRu2 after structural relaxation. The functional is PBE.

```
data_RbHRu2
_chemical_formula_sum 'Rb1 H1 Ru2'
_symmetry_space_group_name_H-M 'P 1'
_symmetry_Int_Tables_number 1
_symmetry_space_group_name_Hall 'P 1'
_cell_length_a 4.5479
_cell_length_b 4.5479
_cell_length_c 4.5479
_cell_angle_alpha 60.00
_cell_angle_beta 60.00
_cell_angle_gamma 60.00
loop_
_atom_site_label
_atom_site_type_symbol
_atom_site_fract_x
_atom_site_fract_y
_atom_site_fract_z
_atom_site_occupancy
Ru1 Ru 0.7500 0.7500 0.7500 1
Rb1 Rb 0.5000 0.5000 0.5000 1
H1 H 0.0000 0.0000 0.0000 1
Ru2 Ru 0.2500 0.2500 0.2500 1
```

DOS at the Fermi energy = 6.4 states/eV per cell
space group = Fm-3m
electronic total energy = -3.4092 eV per atom